Al4CuAu | GGA-PBE | optimized geometry

Calculated total energy, eV/cell: -23.74
V, Å³/cell: 104

The structure in CIF format:
```
data_Al4CuAu
_space_group_name_H-M_alt 'P 4/m m m'
_space_group_IT_number 123
_space_group_name_Hall '-P 4 2'
_cell_length_a 4.158
_cell_length_b 4.158
_cell_length_c 6.009
_cell_angle_alpha 90.00
_cell_angle_beta 90.00
_cell_angle_gamma 90.00
loop_
_atom_site_label
_atom_site_fract_x
_atom_site_fract_y
_atom_site_fract_z
Al1 0.000 0.500 0.234
Cu1 0.000 0.000 0.000
Au1 0.500 0.500 0.500
```